# 1
12
Lattice="-2.909 -4.321 1.169 5.049 0.358 1.697 -2.844 3.976 7.622" Properties=species:S:1:pos:R:3 comment="SmOs2 (GGA-PBE, optimized geometry)" total_energy_ev_per_cell=-110.88 n_ef_per_ev_cell=14.58 ef_mev_per_atom=-180.7 sg="No. 194" pbc="T T T"
Sm 2.214 -0.947 2.010
Os 0.138 0.428 7.896
Os 0.206 -2.356 3.995
Os -0.842 -0.415 2.592
Os -2.266 -2.531 3.164
Os 0.000 0.000 0.000
Os -0.910 2.369 6.493
Sm -2.918 0.960 8.478
Sm -1.861 -0.518 5.645
Os 1.562 2.544 7.324
Sm 1.157 0.531 4.843
Os -1.422 1.988 3.811

---

# 2
4
Lattice="-2.765 0.404 -2.476 0.210 -3.304 -0.774 -6.407 -2.008 6.826" Properties=species:S:1:pos:R:3 comment="Sm3Os (GGA-PBE, optimized geometry)" total_energy_ev_per_cell=-24.35 n_ef_per_ev_cell=3.65 ef_mev_per_atom=260.2 sg="No. 25" pbc="T T T"
Sm -2.080 -1.702 -0.770
Sm -6.282 -1.333 3.983
Sm -2.906 -2.596 2.821
Os -6.236 -1.954 6.645

---

# 3
16
Lattice="6.260 0.000 0.000 3.130 8.391 0.000 3.130 0.000 8.391" Properties=species:S:1:pos:R:3 comment="Sm3Os (GGA-PBE, optimized geometry)" total_energy_ev_per_cell=-103.18 n_ef_per_ev_cell=15.96 ef_mev_per_atom=-101.7 sg="No. 121" pbc="T T T"
Sm 7.911 6.773 0.001
Sm 3.130 3.006 3.005
Os 3.131 5.962 2.432
Sm 6.259 3.005 5.384
Sm 4.990 8.390 4.977
Sm 1.479 0.001 1.618
Sm 4.990 0.001 3.413
Sm 4.399 4.977 0.001
Sm 6.259 5.386 3.006
Os 6.258 5.959 5.962
Sm 9.390 5.384 5.386
Sm 10.659 3.413 8.390
Os 3.131 2.429 5.959
Os 6.258 2.432 2.429
Sm 7.911 1.618 8.389
Sm 7.738 8.389 6.773

---

# 4
7
Lattice="-5.787 1.066 0.317 2.212 -0.470 5.442 2.662 4.433 -2.826" Properties=species:S:1:pos:R:3 comment="SmOs6 (GGA-PBE, optimized geometry)" total_energy_ev_per_cell=-66.86 n_ef_per_ev_cell=6.56 ef_mev_per_atom=748.4 sg="No. 229" pbc="T T T"
Os -0.569 1.289 3.534
Os 1.656 3.356 0.681
Os 1.543 2.131 2.748
Os -2.569 1.673 2.252
Os -2.456 2.899 0.185
Sm 0.000 0.000 0.000
Os -0.344 3.741 -0.601